Record 1
10
Lattice="4.804 0.000 0.000 0.000 5.229 -2.866 0.000 0.559 8.340" Properties=species:S:1:pos:R:3 comment="Mg3TlAg PBE-GGA relaxed" delta_e_f_ev_per_atom=-0.09 crystal_system=monoclinic sg=P2_1/m pbc="T T T"
Mg 0.939 0.299 2.091
Mg 0.939 2.077 4.882
Mg 0.939 4.018 2.304
Mg 3.341 0.997 6.871
Mg 3.341 3.726 -1.758
Mg 3.341 2.215 1.321
Tl 3.341 0.278 3.862
Tl 0.939 2.236 -0.450
Ag 3.341 3.406 3.895
Ag 0.939 4.897 4.991


Record 2
4
Lattice="-1.200 3.240 1.250 -1.635 0.522 -2.924 -7.081 -2.446 -0.458" Properties=species:S:1:pos:R:3 comment="MgTlAg2 PBE-GGA relaxed" delta_e_f_ev_per_atom=-0.03 crystal_system=monoclinic sg=Pm pbc="T T T"
Ag -1.778 0.445 -2.862
Ag -2.782 1.137 -0.218
Mg -4.163 -0.856 -1.777
Tl -7.185 0.151 -1.890


Record 3
6
Lattice="-3.367 0.430 -1.032 -0.820 -3.176 1.352 -2.307 4.617 9.447" Properties=species:S:1:pos:R:3 comment="Mg3Tl2Ag PBE-GGA relaxed" delta_e_f_ev_per_atom=-0.08 crystal_system=tetragonal sg=P4/mmm pbc="T T T"
Mg 0.000 0.000 0.000
Mg -1.482 2.967 6.070
Mg -0.825 1.651 3.377
Tl -3.991 2.425 7.931
Tl -2.503 -0.554 1.836
Ag -3.247 0.936 4.884


Record 4
4
Lattice="-3.808 -4.737 1.909 1.593 -3.746 4.900 -1.341 5.806 -2.252" Properties=species:S:1:pos:R:3 comment="MgTl2Ag PBE-GGA relaxed" delta_e_f_ev_per_atom=0.03 crystal_system=orthorhombic sg=Imm2 pbc="T T T"
Ag -1.070 -4.095 3.287
Mg -0.487 -1.317 3.207
Tl -0.025 -0.097 0.078
Tl -3.082 -1.410 1.389


Record 5
7
Lattice="4.574 0.000 0.000 0.000 4.574 0.000 0.000 0.000 7.833" Properties=species:S:1:pos:R:3 comment="Mg5TlAg PBE-GGA relaxed" delta_e_f_ev_per_atom=-0.04 crystal_system=tetragonal sg=P4/mmm pbc="T T T"
Mg 2.287 2.287 0.000
Mg 2.287 0.000 2.314
Mg 0.000 2.287 2.314
Mg 2.287 0.000 5.519
Mg 0.000 2.287 5.519
Tl 0.000 0.000 0.000
Ag 0.000 0.000 3.916


Record 6
4
Lattice="5.194 0.000 0.000 2.597 4.498 0.000 2.597 1.499 4.241" Properties=species:S:1:pos:R:3 comment="MgTl2Ag PBE-GGA relaxed" delta_e_f_ev_per_atom=0.09 crystal_system=cubic sg=F-43m pbc="T T T"
Ag 5.194 2.999 2.120
Mg 7.791 4.498 3.181
Tl 0.000 0.000 0.000
Tl 2.597 1.499 1.060


Record 7
4
Lattice="3.443 0.000 0.000 1.722 2.982 0.000 1.722 0.994 9.565" Properties=species:S:1:pos:R:3 comment="MgTl2Ag PBE-GGA relaxed" delta_e_f_ev_per_atom=0.07 crystal_system=trigonal sg=R3m pbc="T T T"
Mg 3.443 1.988 4.777
Tl 1.722 0.994 7.258
Tl 1.722 0.994 2.309
Ag 3.443 1.988 0.004


Record 8
5
Lattice="-4.577 2.277 -0.725 -0.105 -1.756 -4.854 -2.387 -4.289 1.603" Properties=species:S:1:pos:R:3 comment="Mg3TlAg PBE-GGA relaxed" delta_e_f_ev_per_atom=0.09 crystal_system=cubic sg=Pm-3m pbc="T T T"
Tl -3.534 -1.884 -1.988
Mg -0.052 -0.878 -2.427
Mg -1.193 -2.144 0.802
Mg -2.289 1.138 -0.362
Ag 0.000 0.000 0.000


Record 9
12
Lattice="-1.289 0.342 5.864 6.313 -4.689 1.661 2.818 4.733 2.649" Properties=species:S:1:pos:R:3 comment="Mg4TlAg PBE-GGA relaxed" delta_e_f_ev_per_atom=-0.04 crystal_system=monoclinic sg=C2/m pbc="T T T"
Mg 4.154 -1.747 6.248
Mg 2.329 2.834 6.670
Mg 1.642 0.426 2.486
Mg 6.131 0.319 4.568
Mg 3.688 2.133 3.926
Mg 5.513 -2.448 3.504
Mg 6.200 -0.040 7.688
Mg 1.711 0.067 5.606
Tl 0.000 0.000 0.000
Tl 2.512 -2.173 3.763
Ag 0.764 2.537 4.256
Ag 4.566 0.022 2.155


Record 10
4
Lattice="4.873 0.000 0.000 2.437 4.220 0.000 2.437 1.407 3.977" Properties=species:S:1:pos:R:3 comment="MgTlAg2 PBE-GGA relaxed" delta_e_f_ev_per_atom=0.00 crystal_system=cubic sg=F-43m pbc="T T T"
Mg 7.310 4.220 2.983
Tl 4.873 2.814 1.989
Ag 2.437 1.407 3.977
Ag 2.437 1.407 0.995


Record 11
4
Lattice="4.389 0.000 0.000 0.000 4.376 0.000 0.000 0.000 4.249" Properties=species:S:1:pos:R:3 comment="MgTlAg2 PBE-GGA relaxed" delta_e_f_ev_per_atom=-0.02 crystal_system=orthorhombic sg=Pmmm pbc="T T T"
Ag 0.000 0.000 0.000
Ag 2.194 2.188 0.000
Mg 2.194 0.000 2.125
Tl 0.000 2.188 2.125


Record 12
6
Lattice="3.396 0.000 0.000 1.698 4.976 -1.034 1.698 -3.872 8.917" Properties=species:S:1:pos:R:3 comment="MgTlAg PBE-GGA relaxed" delta_e_f_ev_per_atom=0.06 crystal_system=monoclinic sg=C2/m pbc="T T T"
Mg 3.396 -0.970 3.545
Mg 3.396 2.074 4.338
Ag 5.094 -2.523 8.145
Ag 1.698 3.628 -0.262
Tl 1.698 1.062 1.780
Tl 5.094 0.042 6.103


Record 13
3
Lattice="4.812 0.000 0.000 -2.406 4.167 0.000 0.000 0.000 3.327" Properties=species:S:1:pos:R:3 comment="MgTlAg PBE-GGA relaxed" delta_e_f_ev_per_atom=0.03 crystal_system=trigonal sg=P3m1 pbc="T T T"
Ag 0.000 0.000 3.274
Mg 0.000 2.778 1.006
Tl 2.406 1.389 2.374


Record 14
4
Lattice="-2.970 1.412 3.962 -3.255 -1.836 3.542 3.258 -0.809 4.032" Properties=species:S:1:pos:R:3 comment="MgTlAg2 PBE-GGA relaxed" delta_e_f_ev_per_atom=0.00 crystal_system=monoclinic sg=C2/m pbc="T T T"
Ag 3.146 -0.797 4.016
Ag -1.372 -0.628 5.784
Mg -2.225 -0.925 8.652
Tl -0.742 -0.308 2.884


Record 15
4
Lattice="-0.487 -3.293 -1.480 3.400 -0.920 0.928 -2.414 -2.504 6.365" Properties=species:S:1:pos:R:3 comment="MgTl2Ag PBE-GGA relaxed" delta_e_f_ev_per_atom=0.04 crystal_system=tetragonal sg=P4/mmm pbc="T T T"
Ag 0.853 -2.732 1.315
Mg -0.353 -3.984 4.498
Tl -0.017 -0.018 0.046
Tl -1.190 -1.234 3.137


Record 16
7
Lattice="4.887 0.000 0.000 2.444 4.233 0.000 2.444 1.411 7.902" Properties=species:S:1:pos:R:3 comment="TmMg2Tl2Ag2 PBE-GGA relaxed" delta_e_f_ev_per_atom=-0.12 crystal_system=trigonal sg=R-3m pbc="T T T"
Tm 0.000 0.000 0.000
Mg 2.444 1.411 4.738
Mg 7.331 4.233 3.163
Tl 4.887 2.822 1.449
Tl 4.887 2.822 6.453
Ag 7.331 4.233 5.970
Ag 2.444 1.411 1.932


Record 17
5
Lattice="-2.473 -3.273 -3.318 2.176 -3.923 2.248 -4.061 -0.331 3.353" Properties=species:S:1:pos:R:3 comment="MgTl2VAg PBE-GGA relaxed" delta_e_f_ev_per_atom=1.19 crystal_system=tetragonal sg=P4/mmm pbc="T T T"
Tl -2.030 -0.165 1.676
Tl -1.237 -1.637 -1.659
Mg 0.000 0.000 0.000
Ag -2.179 -3.763 1.141
V 1.088 -1.961 1.124


Record 18
4
Lattice="-4.332 1.673 -2.053 -1.913 -2.290 -4.108 -4.231 -2.781 0.383" Properties=species:S:1:pos:R:3 comment="YMgTlAg PBE-GGA relaxed" delta_e_f_ev_per_atom=-0.30 crystal_system=cubic sg=F-43m pbc="T T T"
Y -7.857 -2.549 -4.333
Tl -5.238 -1.699 -2.889
Mg -2.619 -0.850 -1.444
Ag 0.000 0.000 0.000


Record 19
5
Lattice="5.636 0.000 0.000 0.000 4.772 0.000 0.000 0.000 5.636" Properties=species:S:1:pos:R:3 comment="Y2MgTlAg PBE-GGA relaxed" delta_e_f_ev_per_atom=0.42 crystal_system=tetragonal sg=P4/mmm pbc="T T T"
Y 0.000 0.000 2.818
Y 2.818 0.000 0.000
Tl 2.818 2.386 2.818
Mg 0.000 0.000 0.000
Ag 0.000 2.386 0.000


Record 20
5
Lattice="-2.177 3.872 1.853 0.183 -2.243 4.899 4.289 2.042 0.775" Properties=species:S:1:pos:R:3 comment="MgZrTlAg2 PBE-GGA relaxed" delta_e_f_ev_per_atom=0.68 crystal_system=tetragonal sg=P4/mmm pbc="T T T"
Mg 0.000 0.000 0.000
Tl 1.147 1.835 3.764
Zr 0.091 -1.121 2.450
Ag 2.145 1.021 0.387
Ag -1.089 1.936 0.927


no.,final energy (Ry/atom)
1,-0.15395
2,-0.18007
3,-0.15750
4,-0.16646
5,-0.14161
6,-0.16216
7,-0.16359
8,-0.14052
9,-0.14472
10,-0.17720
11,-0.17924
12,-0.16226
13,-0.16440
14,-0.17759
15,-0.16561
16,-0.19905
17,-0.18177
18,-0.26623
19,-0.25896
20,-0.21764